No. 1
Below is a relaxed AcDy6ErTm2 crystal, with properties calculated at the GGA-PBE level.

Cell lengths 9.221, 15.123, 9.452 Å; angles 90.00, 94.67, 90.00 degrees
Space group C2/c (No. 15)
Asymmetric unit:
Ac 0.000 0.031 0.250 (multiplicity 4)
Dy 0.060 0.187 0.943 (multiplicity 8)
Dy 0.100 0.388 0.115 (multiplicity 8)
Dy 0.218 0.229 0.319 (multiplicity 8)
Er 0.000 0.413 0.750 (multiplicity 4)
Tm 0.239 0.444 0.450 (multiplicity 8)

Summary:
Formation energy from the elements (eV/atom): 0.13
E (eV/atom): -4.39
DOS(E_F) (states/eV per cell): 59.441

***

No. 2
Below is a relaxed AcDyEr4Tm2 crystal, with properties calculated at the GGA-PBE level.

Cell lengths 7.151, 7.155, 9.998 Å; angles 89.98, 89.96, 89.96 degrees
Space group P-1 (No. 2)
Asymmetric unit:
Ac 0.000 0.000 0.000 (multiplicity 1)
Ac 0.000 0.500 0.500 (multiplicity 1)
Dy 0.000 0.000 0.500 (multiplicity 1)
Dy 0.500 0.000 0.500 (multiplicity 1)
Er 0.257 0.251 0.249 (multiplicity 2)
Er 0.257 0.251 0.751 (multiplicity 2)
Er 0.257 0.749 0.249 (multiplicity 2)
Er 0.257 0.749 0.751 (multiplicity 2)
Tm 0.000 0.500 0.000 (multiplicity 1)
Tm 0.500 0.000 0.000 (multiplicity 1)
Tm 0.500 0.500 0.000 (multiplicity 1)
Tm 0.500 0.500 0.500 (multiplicity 1)

Summary:
Formation energy from the elements (eV/atom): 0.05
E (eV/atom): -4.44
DOS(E_F) (states/eV per cell): 21.996

***

No. 3
Below is a relaxed AcDy2ErTm4 crystal, with properties calculated at the GGA-PBE level.

Cell lengths 5.044, 5.063, 10.043 Å; angles 90.00, 90.00, 90.00 degrees
Space group Pmmm (No. 47)
Asymmetric unit:
Ac 0.000 0.000 0.000 (multiplicity 1)
Dy 0.000 0.000 0.500 (multiplicity 1)
Dy 0.500 0.500 0.000 (multiplicity 1)
Er 0.500 0.500 0.500 (multiplicity 1)
Tm 0.000 0.500 0.259 (multiplicity 2)
Tm 0.500 0.000 0.259 (multiplicity 2)

Summary:
Formation energy from the elements (eV/atom): 0.05
E (eV/atom): -4.42
DOS(E_F) (states/eV per cell): 11.894

***

No. 4
Below is a relaxed AcDyEr2Tm4 crystal, with properties calculated at the GGA-PBE level.

Cell lengths 5.035, 5.058, 10.038 Å; angles 90.00, 90.00, 90.00 degrees
Space group Pmmm (No. 47)
Asymmetric unit:
Ac 0.000 0.000 0.000 (multiplicity 1)
Dy 0.500 0.500 0.500 (multiplicity 1)
Er 0.000 0.000 0.500 (multiplicity 1)
Er 0.500 0.500 0.000 (multiplicity 1)
Tm 0.000 0.500 0.259 (multiplicity 2)
Tm 0.500 0.000 0.259 (multiplicity 2)

Summary:
Formation energy from the elements (eV/atom): 0.05
E (eV/atom): -4.41
DOS(E_F) (states/eV per cell): 11.596

***

No. 5
Below is a relaxed AcDy2Er4Tm crystal, with properties calculated at the GGA-PBE level.

Cell lengths 5.043, 5.059, 10.100 Å; angles 90.00, 90.00, 90.00 degrees
Space group Pmmm (No. 47)
Asymmetric unit:
Ac 0.000 0.000 0.000 (multiplicity 1)
Dy 0.000 0.000 0.500 (multiplicity 1)
Dy 0.500 0.500 0.000 (multiplicity 1)
Er 0.000 0.500 0.259 (multiplicity 2)
Er 0.500 0.000 0.259 (multiplicity 2)
Tm 0.500 0.500 0.500 (multiplicity 1)

Summary:
Formation energy from the elements (eV/atom): 0.05
E (eV/atom): -4.46
DOS(E_F) (states/eV per cell): 11.607

***

No. 6
Below is a relaxed AcDy6Y2Er crystal, with properties calculated at the GGA-PBE level.

Cell lengths 9.320, 15.185, 9.452 Å; angles 90.00, 94.08, 90.00 degrees
Space group C2/c (No. 15)
Asymmetric unit:
Ac 0.000 0.034 0.250 (multiplicity 4)
Dy 0.059 0.186 0.941 (multiplicity 8)
Dy 0.098 0.385 0.114 (multiplicity 8)
Dy 0.220 0.229 0.319 (multiplicity 8)
Y 0.239 0.445 0.449 (multiplicity 8)
Er 0.000 0.413 0.750 (multiplicity 4)

Summary:
Formation energy from the elements (eV/atom): 0.13
E (eV/atom): -4.79
DOS(E_F) (states/eV per cell): 61.109

***

No. 7
Below is a relaxed AcDy6YEr2 crystal, with properties calculated at the GGA-PBE level.

Cell lengths 9.195, 15.239, 9.529 Å; angles 90.00, 95.06, 90.00 degrees
Space group C2/c (No. 15)
Asymmetric unit:
Ac 0.000 0.030 0.250 (multiplicity 4)
Dy 0.061 0.189 0.943 (multiplicity 8)
Dy 0.101 0.389 0.117 (multiplicity 8)
Dy 0.214 0.230 0.320 (multiplicity 8)
Y 0.000 0.412 0.750 (multiplicity 4)
Er 0.240 0.443 0.452 (multiplicity 8)

Summary:
Formation energy from the elements (eV/atom): 0.13
E (eV/atom): -4.60
DOS(E_F) (states/eV per cell): 60.640

***

No. 8
Below is a relaxed Ac2Dy3Y6Er crystal, with properties calculated at the GGA-PBE level.

Cell lengths 6.309, 10.924, 11.940 Å; angles 90.00, 100.12, 90.00 degrees
Space group C2/m (No. 12)
Asymmetric unit:
Ac 0.000 0.167 0.000 (multiplicity 4)
Dy 0.000 0.000 0.500 (multiplicity 2)
Dy 0.000 0.333 0.500 (multiplicity 4)
Y 0.245 0.500 0.743 (multiplicity 4)
Y 0.250 0.165 0.743 (multiplicity 8)
Er 0.000 0.500 0.000 (multiplicity 2)

Summary:
Formation energy from the elements (eV/atom): 0.04
E (eV/atom): -5.41
DOS(E_F) (states/eV per cell): 33.408

***

No. 9
Below is a relaxed AcDy2Y5Er crystal, with properties calculated at the GGA-PBE level.

Cell lengths 8.920, 8.920, 15.285 Å; angles 90.00, 90.00, 90.00 degrees
Space group I4/mcm (No. 140)
Asymmetric unit:
Ac 0.000 0.500 0.250 (multiplicity 4)
Dy 0.113 0.387 0.000 (multiplicity 8)
Y 0.000 0.000 0.000 (multiplicity 4)
Y 0.207 0.293 0.371 (multiplicity 16)
Er 0.000 0.000 0.250 (multiplicity 4)

Summary:
Formation energy from the elements (eV/atom): 0.29
E (eV/atom): -5.28
DOS(E_F) (states/eV per cell): 46.244

***

No. 10
Below is a relaxed AcDyY2Er crystal, with properties calculated at the GGA-PBE level.

Cell lengths 8.500, 11.894, 7.326 Å; angles 90.00, 90.00, 90.00 degrees
Space group Cmcm (No. 63)
Asymmetric unit:
Ac 0.000 0.248 0.250 (multiplicity 4)
Dy 0.000 0.470 0.750 (multiplicity 4)
Y 0.192 0.000 0.000 (multiplicity 8)
Er 0.000 0.202 0.750 (multiplicity 4)

Summary:
Formation energy from the elements (eV/atom): 0.36
E (eV/atom): -4.89
DOS(E_F) (states/eV per cell): 25.547

***

No. 11
Below is a relaxed AcDy3Y6Er2 crystal, with properties calculated at the GGA-PBE level.

Cell lengths 6.216, 10.759, 11.889 Å; angles 90.00, 100.00, 90.00 degrees
Space group C2/m (No. 12)
Asymmetric unit:
Ac 0.000 0.000 0.000 (multiplicity 2)
Dy 0.000 0.167 0.500 (multiplicity 4)
Dy 0.000 0.500 0.500 (multiplicity 2)
Y 0.246 0.332 0.746 (multiplicity 8)
Y 0.249 0.500 0.254 (multiplicity 4)
Er 0.000 0.333 0.000 (multiplicity 4)

Summary:
Formation energy from the elements (eV/atom): 0.03
E (eV/atom): -5.45
DOS(E_F) (states/eV per cell): 33.597

***

No. 12
Below is a relaxed AcDy2Y6Er crystal, with properties calculated at the GGA-PBE level.

Cell lengths 9.284, 15.265, 9.531 Å; angles 90.00, 95.10, 90.00 degrees
Space group C2/c (No. 15)
Asymmetric unit:
Ac 0.000 0.030 0.250 (multiplicity 4)
Dy 0.241 0.444 0.448 (multiplicity 8)
Y 0.058 0.187 0.942 (multiplicity 8)
Y 0.100 0.388 0.113 (multiplicity 8)
Y 0.218 0.227 0.318 (multiplicity 8)
Er 0.000 0.413 0.750 (multiplicity 4)

Summary:
Formation energy from the elements (eV/atom): 0.13
E (eV/atom): -5.54
DOS(E_F) (states/eV per cell): 64.526

***

No. 13
Below is a relaxed AcEu2Dy crystal, with properties calculated at the GGA-PBE level.

Cell lengths 3.8137, 3.8137, 37.4887 Å; angles 90.00, 90.00, 120.00 degrees
Space group R-3m (No. 166, hexagonal axes)
Asymmetric unit:
Ac 0.0000 0.0000 0.0000 (multiplicity 3)
Eu 0.0000 0.0000 0.2462 (multiplicity 6)
Dy 0.0000 0.0000 0.5000 (multiplicity 3)

Summary:
Offset from the most stable computed form (kJ/mol of formula units): 0.0
Formation energy from the elements (eV/atom): 0.09
E (eV/atom): -7.23
DOS(E_F) (states/eV per cell): 15.269

***

No. 14
Below is a relaxed AcEu2Dy crystal, with properties calculated at the GGA-PBE level.

Cell lengths 3.819, 3.819, 10.743 Å; angles 90.00, 90.00, 90.00 degrees
Space group P4/mmm (No. 123)
Asymmetric unit:
Ac 0.000 0.000 0.000 (multiplicity 1)
Eu 0.500 0.500 0.265 (multiplicity 2)
Dy 0.000 0.000 0.500 (multiplicity 1)

Summary:
Offset from the most stable computed form (kJ/mol of formula units): 3.2
Formation energy from the elements (eV/atom): 0.09
E (eV/atom): -7.22
DOS(E_F) (states/eV per cell): 4.271

***

No. 15
Below is a relaxed Ac2EuDy crystal, with properties calculated at the GGA-PBE level.

Cell lengths 3.907, 3.907, 10.631 Å; angles 90.00, 90.00, 90.00 degrees
Space group P4/mmm (No. 123)
Asymmetric unit:
Ac 0.000 0.000 0.235 (multiplicity 2)
Eu 0.500 0.500 0.500 (multiplicity 1)
Dy 0.500 0.500 0.000 (multiplicity 1)

Summary:
Offset from the most stable computed form (kJ/mol of formula units): 0.0
Formation energy from the elements (eV/atom): 0.04
E (eV/atom): -5.74
DOS(E_F) (states/eV per cell): 5.608

***

No. 16
Below is a relaxed AcEu2Dy crystal, with properties calculated at the GGA-PBE level.

Cell lengths 8.569, 8.569, 8.569 Å; angles 90.00, 90.00, 90.00 degrees
Space group Fm-3m (No. 225)
Asymmetric unit:
Ac 0.000 0.000 0.000 (multiplicity 4)
Eu 0.250 0.250 0.250 (multiplicity 8)
Dy 0.000 0.000 0.500 (multiplicity 4)

Summary:
Offset from the most stable computed form (kJ/mol of formula units): 16.9
Formation energy from the elements (eV/atom): 0.13
E (eV/atom): -7.19
DOS(E_F) (states/eV per cell): 19.230

***

No. 17
Below is a relaxed AcEuDy2 crystal, with properties calculated at the GGA-PBE level.

Cell lengths 3.791, 3.791, 10.219 Å; angles 90.00, 90.00, 90.00 degrees
Space group P4/mmm (No. 123)
Asymmetric unit:
Ac 0.000 0.000 0.000 (multiplicity 1)
Eu 0.000 0.000 0.500 (multiplicity 1)
Dy 0.500 0.500 0.249 (multiplicity 2)

Summary:
Offset from the most stable computed form (kJ/mol of formula units): 0.0
Formation energy from the elements (eV/atom): 0.09
E (eV/atom): -5.80
DOS(E_F) (states/eV per cell): 6.373

***

No. 18
Below is a relaxed AcEu2Dy crystal, with properties calculated at the GGA-PBE level.

Cell lengths 6.065, 6.065, 4.266 Å; angles 90.00, 90.00, 90.00 degrees
Space group P4/mmm (No. 123)
Asymmetric unit:
Ac 0.000 0.000 0.000 (multiplicity 1)
Eu 0.000 0.500 0.500 (multiplicity 2)
Dy 0.500 0.500 0.000 (multiplicity 1)

Summary:
Offset from the most stable computed form (kJ/mol of formula units): 19.7
Formation energy from the elements (eV/atom): 0.14
E (eV/atom): -7.18
DOS(E_F) (states/eV per cell): 5.156

***

No. 19
Below is a relaxed Ac2EuDy crystal, with properties calculated at the GGA-PBE level.

Cell lengths 5.529, 5.529, 5.245 Å; angles 90.00, 90.00, 90.00 degrees
Space group P4/mmm (No. 123)
Asymmetric unit:
Ac 0.000 0.500 0.000 (multiplicity 2)
Eu 0.000 0.000 0.500 (multiplicity 1)
Dy 0.500 0.500 0.500 (multiplicity 1)

Summary:
Offset from the most stable computed form (kJ/mol of formula units): 13.4
Formation energy from the elements (eV/atom): 0.07
E (eV/atom): -5.70
DOS(E_F) (states/eV per cell): 6.924

***

No. 20
Below is a relaxed AcEuDy2 crystal, with properties calculated at the GGA-PBE level.

Cell lengths 8.388, 8.388, 8.388 Å; angles 90.00, 90.00, 90.00 degrees
Space group Fm-3m (No. 225)
Asymmetric unit:
Ac 0.000 0.000 0.000 (multiplicity 4)
Eu 0.000 0.000 0.500 (multiplicity 4)
Dy 0.250 0.250 0.250 (multiplicity 8)

Summary:
Offset from the most stable computed form (kJ/mol of formula units): 22.3
Formation energy from the elements (eV/atom): 0.15
E (eV/atom): -5.75
DOS(E_F) (states/eV per cell): 26.670

***

No. 21
Below is a relaxed Ac2EuDy crystal, with properties calculated at the GGA-PBE level.

Cell lengths 8.644, 8.644, 8.644 Å; angles 90.00, 90.00, 90.00 degrees
Space group Fm-3m (No. 225)
Asymmetric unit:
Ac 0.250 0.250 0.250 (multiplicity 8)
Eu 0.000 0.000 0.000 (multiplicity 4)
Dy 0.000 0.000 0.500 (multiplicity 4)

Summary:
Offset from the most stable computed form (kJ/mol of formula units): 21.2
Formation energy from the elements (eV/atom): 0.09
E (eV/atom): -5.68
DOS(E_F) (states/eV per cell): 23.048

***

No. 22
Below is a relaxed AcEuDy2 crystal, with properties calculated at the GGA-PBE level.

Cell lengths 5.274, 5.274, 5.252 Å; angles 90.00, 90.00, 90.00 degrees
Space group P4/mmm (No. 123)
Asymmetric unit:
Ac 0.000 0.000 0.000 (multiplicity 1)
Eu 0.500 0.500 0.000 (multiplicity 1)
Dy 0.000 0.500 0.500 (multiplicity 2)

Summary:
Offset from the most stable computed form (kJ/mol of formula units): 3.5
Formation energy from the elements (eV/atom): 0.10
E (eV/atom): -5.79
DOS(E_F) (states/eV per cell): 6.888

***

No. 23
Below is a relaxed AcEuDyGa crystal, with properties calculated at the GGA-PBE level.

Cell lengths 7.917, 7.917, 7.917 Å; angles 90.00, 90.00, 90.00 degrees
Space group F-43m (No. 216)
Asymmetric unit:
Ac 0.000 0.000 0.000 (multiplicity 4)
Eu 0.250 0.250 0.250 (multiplicity 4)
Dy 0.250 0.250 0.750 (multiplicity 4)
Ga 0.000 0.000 0.500 (multiplicity 4)

Summary:
Formation energy from the elements (eV/atom): 0.06
E (eV/atom): -5.44
DOS(E_F) (states/eV per cell): 23.973